The following is a GGA-PBE calculation of CrTe2Au after structural relaxation, from the Alexandria database.

The total energy is -4.82 eV per atom. As for the raw formation energy: -0.023 eV per atom.

The structure in POSCAR format:
```
CrTe2Au
1.0
-5.125 0.525 2.303
-0.410 -5.617 0.369
-0.231 -2.363 6.941
Au Te Cr
2 4 2
direct
0.000 0.000 0.000 Au
0.750 0.250 0.500 Au
0.023 0.523 0.954 Te
0.477 0.977 0.046 Te
0.273 0.273 0.454 Te
0.727 0.727 0.546 Te
0.250 0.750 0.500 Cr
0.500 0.500 0.000 Cr
```